# 1
{
  "formula": "Hf2UOs",
  "functional": "PBE-GGA",
  "state": "optimized geometry",
  "lattice": [[3.224, 0.000, 0.000], [0.000, 4.888, 0.000], [0.000, 0.000, 4.888]],
  "species": ["Os", "Hf", "Hf", "U"],
  "fractional_positions": [[0.500, 0.000, 0.000], [0.000, 0.000, 0.500], [0.000, 0.500, 0.000], [0.500, 0.500, 0.500]],
  "spacegroup": "P4/mmm",
  "relative_energy_ev_per_atom": 0.235,
  "delta_e_f_mev_per_atom": 88
}


# 2
{
  "formula": "CaWS2N",
  "functional": "PBE-GGA",
  "state": "optimized geometry",
  "lattice": [[-2.154, 0.180, 4.342], [1.184, -4.639, 0.780], [3.336, 1.122, 1.609]],
  "species": ["W", "S", "S", "Ca", "N"],
  "fractional_positions": [[0.000, 0.000, 0.000], [0.000, 0.500, 0.000], [0.500, 0.000, 0.000], [0.500, 0.500, 0.500], [0.000, 0.000, 0.500]],
  "spacegroup": "P4/mmm",
  "raw_formation_energy_ev_per_atom": -0.77,
  "relative_energy_ev_per_atom": 0.000
}


# 3
{
  "formula": "TaCrC2S",
  "functional": "PBE-GGA",
  "state": "optimized geometry",
  "lattice": [[4.013, 0.000, 0.000], [0.000, 5.442, 0.000], [0.000, 0.000, 4.013]],
  "species": ["C", "C", "S", "Ta", "Cr"],
  "fractional_positions": [[0.000, 0.000, 0.500], [0.500, 0.000, 0.000], [0.500, 0.500, 0.500], [0.000, 0.000, 0.000], [0.000, 0.500, 0.000]],
  "spacegroup": "P4/mmm",
  "raw_formation_energy_ev_per_atom": 2.02
}


# 4
{
  "formula": "Zn4Ni3",
  "functional": "PBE-GGA",
  "state": "optimized geometry",
  "lattice": [[3.918, 0.000, 1.168], [1.785, 3.488, 1.168], [0.087, 0.053, 6.863]],
  "species": ["Ni", "Ni", "Ni", "Zn", "Zn", "Zn", "Zn"],
  "fractional_positions": [[0.000, 0.000, 0.000], [0.742, 0.742, 0.774], [0.258, 0.258, 0.226], [0.614, 0.614, 0.157], [0.130, 0.130, 0.609], [0.386, 0.386, 0.843], [0.870, 0.870, 0.391]],
  "spacegroup": "R-3m",
  "relative_energy_ev_per_atom": 0.000,
  "delta_e_f_mev_per_atom": -156
}


# 5
{
  "formula": "Ta4SiPt",
  "functional": "PBE-GGA",
  "state": "optimized geometry",
  "lattice": [[2.754, -4.539, -0.818], [1.024, -3.298, 4.114], [-2.491, -4.748, 0.320]],
  "species": ["Ta", "Ta", "Ta", "Ta", "Si", "Pt"],
  "fractional_positions": [[0.626, 0.626, 0.122], [0.626, 0.626, 0.626], [0.626, 0.122, 0.626], [0.122, 0.626, 0.626], [0.000, 0.000, 0.000], [0.250, 0.250, 0.250]],
  "spacegroup": "F-43m",
  "raw_formation_energy_ev_per_atom": 0.40
}


# 6
{
  "formula": "K2PuTc3O12",
  "functional": "PBE-GGA",
  "state": "optimized geometry",
  "lattice": [[-1.999, 3.944, 6.018], [-1.208, -3.281, 6.599], [4.654, 0.973, 5.758]],
  "species": ["O", "O", "O", "O", "O", "O", "O", "O", "O", "O", "O", "O", "Tc", "Tc", "Tc", "K", "K", "Pu"],
  "fractional_positions": [[0.925, 0.925, 0.336], [0.697, 0.697, 0.067], [0.303, 0.303, 0.933], [0.075, 0.664, 0.075], [0.336, 0.925, 0.925], [0.925, 0.336, 0.925], [0.075, 0.075, 0.664], [0.067, 0.697, 0.697], [0.697, 0.067, 0.697], [0.664, 0.075, 0.075], [0.303, 0.933, 0.303], [0.933, 0.303, 0.303], [0.000, 0.000, 0.500], [0.500, 0.000, 0.000], [0.000, 0.500, 0.000], [0.364, 0.364, 0.364], [0.636, 0.636, 0.636], [0.000, 0.000, 0.000]],
  "spacegroup": "R-3m",
  "raw_formation_energy_ev_per_atom": -1.73
}


# 7
{
  "formula": "LiFe22C6",
  "functional": "PBE-GGA",
  "state": "optimized geometry",
  "lattice": [[6.398, 0.000, 3.694], [2.133, 6.032, 3.694], [0.000, 0.000, 7.388]],
  "species": ["Fe", "Fe", "Fe", "Fe", "Fe", "Fe", "Fe", "Fe", "Fe", "Fe", "Fe", "Fe", "Fe", "Fe", "Fe", "Fe", "Fe", "Fe", "Fe", "Fe", "Fe", "Fe", "C", "C", "C", "C", "C", "C", "Li"],
  "fractional_positions": [[0.339, 0.000, 0.000], [0.339, 0.661, 0.000], [0.000, 0.661, 0.000], [0.250, 0.250, 0.250], [0.661, 0.000, 0.000], [0.661, 0.000, 0.339], [0.000, 0.339, 0.661], [0.000, 0.000, 0.661], [0.000, 0.339, 0.000], [0.000, 0.000, 0.339], [0.617, 0.150, 0.617], [0.383, 0.850, 0.383], [0.850, 0.383, 0.383], [0.000, 0.661, 0.339], [0.150, 0.617, 0.617], [0.617, 0.617, 0.617], [0.383, 0.383, 0.850], [0.750, 0.750, 0.750], [0.661, 0.339, 0.000], [0.339, 0.000, 0.661], [0.617, 0.617, 0.150], [0.383, 0.383, 0.383], [0.725, 0.725, 0.275], [0.275, 0.275, 0.725], [0.725, 0.275, 0.725], [0.275, 0.725, 0.725], [0.275, 0.725, 0.275], [0.725, 0.275, 0.275], [0.000, 0.000, 0.000]],
  "spacegroup": "Fm-3m",
  "delta_e_f_mev_per_atom": 35
}


# 8
{
  "formula": "MnRe2Se",
  "functional": "PBE-GGA",
  "state": "optimized geometry",
  "lattice": [[-2.631, -1.196, -0.359], [-0.281, -0.249, 2.888], [-2.819, 6.125, 0.255]],
  "species": ["Re", "Re", "Se", "Mn"],
  "fractional_positions": [[0.000, 0.000, 0.998], [0.500, 0.500, 0.249], [0.000, 0.000, 0.520], [0.500, 0.500, 0.733]],
  "spacegroup": "P4mm",
  "raw_formation_energy_ev_per_atom": 0.25
}


| no. | DOS at the Fermi energy (states/eV per cell) | total magnetization (μB/atom) | electronic total energy (Ry/atom) |
| --- | --- | --- | --- |
| 1 | 6.9 | 0.3853 | -0.77309 |
| 2 | 1.2 | 0.0000 | -0.52007 |
| 3 | 8.4 | 0.0477 | -0.49873 |
| 4 | 3.9 | 0.0000 | -0.24711 |
| 5 | 5.7 | 0.0000 | -0.69191 |
| 6 | 11.5 | 0.2114 | -0.56472 |
| 7 | 20.6 | 1.5081 | -0.61444 |
| 8 | 3.0 | 0.3317 | -0.67168 |